# 1
KPuHgSe3: relaxed, PBE-GGA.

Computed properties:
DOS(E_F) ... 21.58 states/eV/cell
Electronic total energy ... -5.365 eV per atom
Formation energy (no corrections) ... -6.0 eV per formula unit

Cell lengths 8.817, 4.321, 10.189 Å; angles 90.00, 106.19, 90.00 degrees
Atoms (fractional coordinates):
1 K 0.216 0.250 0.240
2 K 0.784 0.750 0.760
3 Pu 0.325 0.750 0.859
4 Pu 0.675 0.250 0.141
5 Hg 0.094 0.250 0.612
6 Hg 0.906 0.750 0.388
7 Se 0.100 0.250 0.872
8 Se 0.242 0.750 0.540
9 Se 0.460 0.750 0.149
10 Se 0.540 0.250 0.851
11 Se 0.758 0.250 0.460
12 Se 0.900 0.750 0.128



# 2
Ac6RuSe3S2: relaxed, PBE-GGA.

Computed properties:
DOS(E_F) ... 12.19 states/eV/cell
Electronic total energy ... -5.998 eV per atom
Formation energy (no corrections) ... -19.3 eV per formula unit

Cell lengths 7.638, 7.638, 7.713 Å; angles 99.46, 99.46, 119.88 degrees
Atoms (fractional coordinates):
1 Ac 0.077 0.399 0.232
2 Ac 0.243 0.243 0.767
3 Ac 0.399 0.077 0.232
4 Ac 0.601 0.923 0.768
5 Ac 0.757 0.757 0.233
6 Ac 0.923 0.601 0.768
7 Ru 0.000 0.000 0.000
8 Se 0.172 0.828 0.500
9 Se 0.500 0.500 0.500
10 Se 0.828 0.172 0.500
11 S 0.334 0.666 0.000
12 S 0.666 0.334 0.000



# 3
Rb3LiMn2Cl9: relaxed, PBE-GGA.

Computed properties:
DOS(E_F) ... 2.15 states/eV/cell
Electronic total energy ... -4.183 eV per atom
Formation energy (no corrections) ... -23.0 eV per formula unit

Cell lengths 7.097, 7.097, 8.742 Å; angles 90.00, 90.00, 120.00 degrees
Atoms (fractional coordinates):
1 Rb 0.000 0.000 0.000
2 Rb 0.333 0.667 0.659
3 Rb 0.667 0.333 0.341
4 Li 0.000 0.000 0.500
5 Mn 0.333 0.667 0.172
6 Mn 0.667 0.333 0.828
7 Cl 0.000 0.500 0.000
8 Cl 0.170 0.341 0.323
9 Cl 0.170 0.830 0.323
10 Cl 0.341 0.170 0.677
11 Cl 0.500 0.000 0.000
12 Cl 0.500 0.500 0.000
13 Cl 0.659 0.830 0.323
14 Cl 0.830 0.170 0.677
15 Cl 0.830 0.659 0.677



# 4
BaPrZn4: relaxed, PBE-GGA.

Computed properties:
DOS(E_F) ... 5.30 states/eV/cell
Electronic total energy ... -2.193 eV per atom
Polymorph energy (0 for the lowest one) ... 0.0 meV per atom
Formation enthalpy at 0 K ... -0.227 eV/atom

Cell lengths 3.900, 4.615, 8.407 Å; angles 90.00, 90.00, 90.00 degrees
Atoms (fractional coordinates):
1 Ba 0.000 0.000 0.000
2 Pr 0.000 0.500 0.500
3 Zn 0.500 0.000 0.347
4 Zn 0.500 0.000 0.653
5 Zn 0.500 0.500 0.193
6 Zn 0.500 0.500 0.807



# 5
ErMgRe: relaxed, PBE-GGA.

Computed properties:
DOS(E_F) ... 6.12 states/eV/cell
Electronic total energy ... -5.804 eV per atom
Formation enthalpy at 0 K ... 0.398 eV/atom

Cell lengths 10.155, 9.897, 4.123 Å; angles 81.67, 74.65, 23.69 degrees
Atoms (fractional coordinates):
1 Er 0.101 0.101 0.899
2 Er 0.899 0.899 0.101
3 Mg 0.250 0.250 0.250
4 Mg 0.750 0.750 0.750
5 Re 0.322 0.678 0.322
6 Re 0.678 0.322 0.678



# 6
AsPtSe2: relaxed, PBE-GGA.

Computed properties:
DOS(E_F) ... 1.71 states/eV/cell
Electronic total energy ... -4.482 eV per atom
Formation energy (no corrections) ... -0.3 eV per formula unit

Cell lengths 4.712, 4.712, 3.807 Å; angles 90.00, 90.00, 112.26 degrees
Atoms (fractional coordinates):
1 As 0.000 0.000 0.000
2 Pt 0.500 0.500 0.000
3 Se 0.275 0.725 0.500
4 Se 0.725 0.275 0.500



# 7
Sc2MoNCl: relaxed, PBE-GGA.

Computed properties:
DOS(E_F) ... 8.04 states/eV/cell
Electronic total energy ... -6.507 eV per atom
Formation energy (no corrections) ... 1.1 eV per formula unit

Cell lengths 4.101, 4.101, 5.507 Å; angles 90.00, 90.00, 90.00 degrees
Atoms (fractional coordinates):
1 Sc 0.000 0.500 0.000
2 Sc 0.500 0.000 0.000
3 Mo 0.000 0.000 0.500
4 N 0.500 0.500 0.000
5 Cl 0.500 0.500 0.500



# 8
Cu2NiPd2: relaxed, PBE-GGA.

Computed properties:
DOS(E_F) ... 5.69 states/eV/cell
Electronic total energy ... -4.903 eV per atom
Polymorph energy (0 for the lowest one) ... 0.0 meV per atom
Formation enthalpy at 0 K ... -0.031 eV/atom

Cell lengths 4.545, 4.545, 5.841 Å; angles 128.60, 128.60, 48.95 degrees
Atoms (fractional coordinates):
1 Cu 0.198 0.198 0.093
2 Cu 0.802 0.802 0.907
3 Ni 0.000 0.000 0.500
4 Pd 0.405 0.405 0.698
5 Pd 0.595 0.595 0.302



# 9
Li3Cd3Bi: relaxed, PBE-GGA.

Computed properties:
DOS(E_F) ... 3.21 states/eV/cell
Electronic total energy ... -1.495 eV per atom
Polymorph energy (0 for the lowest one) ... 406.9 meV per atom
Formation enthalpy at 0 K ... 0.272 eV/atom

Cell lengths 7.247, 7.247, 7.247 Å; angles 90.00, 90.00, 90.00 degrees
Atoms (fractional coordinates):
1 Li 0.000 0.250 0.500
2 Li 0.000 0.750 0.500
3 Li 0.250 0.500 0.000
4 Li 0.500 0.000 0.250
5 Li 0.500 0.000 0.750
6 Li 0.750 0.500 0.000
7 Cd 0.000 0.500 0.250
8 Cd 0.000 0.500 0.750
9 Cd 0.250 0.000 0.500
10 Cd 0.500 0.250 0.000
11 Cd 0.500 0.750 0.000
12 Cd 0.750 0.000 0.500
13 Bi 0.000 0.000 0.000
14 Bi 0.500 0.500 0.500



# 10
LiAcCd3In: relaxed, PBE-GGA.

Computed properties:
DOS(E_F) ... 4.59 states/eV/cell
Electronic total energy ... -2.111 eV per atom
Formation enthalpy at 0 K ... -0.194 eV/atom

Cell lengths 7.597, 7.597, 6.669 Å; angles 90.00, 90.00, 127.17 degrees
Atoms (fractional coordinates):
1 Li 0.066 0.934 0.750
2 Li 0.934 0.066 0.250
3 Ac 0.294 0.706 0.750
4 Ac 0.706 0.294 0.250
5 Cd 0.131 0.869 0.250
6 Cd 0.281 0.281 0.000
7 Cd 0.281 0.281 0.500
8 Cd 0.719 0.719 0.000
9 Cd 0.719 0.719 0.500
10 Cd 0.869 0.131 0.750
11 In 0.349 0.651 0.250
12 In 0.651 0.349 0.750



# 11
Pm4Hg2Ir: relaxed, PBE-GGA.

Computed properties:
DOS(E_F) ... 6.97 states/eV/cell
Electronic total energy ... -4.556 eV per atom
Polymorph energy (0 for the lowest one) ... 0.0 meV per atom
Formation enthalpy at 0 K ... -0.490 eV/atom

Cell lengths 6.098, 6.098, 8.786 Å; angles 116.99, 116.99, 44.89 degrees
Atoms (fractional coordinates):
1 Pm 0.074 0.074 0.352
2 Pm 0.328 0.328 0.934
3 Pm 0.672 0.672 0.066
4 Pm 0.926 0.926 0.648
5 Hg 0.357 0.357 0.333
6 Hg 0.643 0.643 0.667
7 Ir 0.000 0.000 0.000



# 12
HfRu: relaxed, PBE-GGA.

Computed properties:
DOS(E_F) ... 3.25 states/eV/cell
Electronic total energy ... -10.117 eV per atom
Formation enthalpy at 0 K ... -0.503 eV/atom

Cell lengths 5.544, 5.544, 5.544 Å; angles 145.68, 133.31, 59.21 degrees
Atoms (fractional coordinates):
1 Hf 0.367 0.117 0.250
2 Hf 0.633 0.883 0.750
3 Ru 0.129 0.379 0.750
4 Ru 0.871 0.621 0.250